1.
YSiMo2 after structural relaxation. Source: the Alexandria database, functional GGA-PBE.

Cell and atoms, written as CIF:
```
data_YSiMo2
_chemical_formula_sum 'Y1 Si1 Mo2'
_cell_length_a 3.647
_cell_length_b 4.309
_cell_length_c 4.498
_cell_angle_alpha 90.00
_cell_angle_beta 90.00
_cell_angle_gamma 90.00
_space_group_name_H-M_alt 'P m m m'
_space_group_IT_number 47
loop_
_space_group_symop_operation_xyz
'x,y,z'
'-x,-y,-z'
'-x,-y,z'
'x,y,-z'
'x,-y,-z'
'-x,y,z'
'-x,y,-z'
'x,-y,z'
loop_
_atom_site_label
_atom_site_fract_x
_atom_site_fract_y
_atom_site_fract_z
_atom_site_occupancy
Y1 0.000 0.000 0.000 1
Si1 0.500 0.500 0.000 1
Mo1 0.000 0.500 0.500 1
Mo2 0.500 0.000 0.500 1
```

- Energy: -8.2493 eV per atom
- DOS(E_F): 3.1 states/eV/f.u.
- Magnetic moment: 0.0 μB per formula unit



2.
HfTaCuW after structural relaxation. Source: the Alexandria database, functional GGA-PBE.

Cell and atoms, written as CIF:
```
data_HfTaCuW
_chemical_formula_sum 'Hf4 Ta4 Cu4 W4'
_cell_length_a 6.489
_cell_length_b 6.489
_cell_length_c 6.489
_cell_angle_alpha 90.00
_cell_angle_beta 90.00
_cell_angle_gamma 90.00
_space_group_name_H-M_alt 'F -4 3 m'
_space_group_IT_number 216
_space_group_name_Hall 'F -4 2 3'
loop_
_atom_site_label
_atom_site_fract_x
_atom_site_fract_y
_atom_site_fract_z
_atom_site_occupancy
Hf1 0.000 0.000 0.000 1
Ta1 0.000 0.000 0.500 1
Cu1 0.250 0.250 0.250 1
W1 0.250 0.250 0.750 1
```

- Energy: -9.6699 eV per atom
- Formation energy from the elements: 0.2 eV per formula unit
- DOS(E_F): 4.2 states/eV/f.u.
- Magnetic moment: 0.0 μB per formula unit



3.
K2Sc2GeS6 after structural relaxation. Source: the Alexandria database, functional GGA-PBE.

Cell and atoms, written as CIF:
```
data_K2Sc2GeS6
_chemical_formula_sum 'K4 Sc4 Ge2 S12'
_cell_length_a 6.439
_cell_length_b 11.145
_cell_length_c 7.849
_cell_angle_alpha 90.00
_cell_angle_beta 106.51
_cell_angle_gamma 90.00
_space_group_name_H-M_alt 'C 1 2/m 1'
_space_group_IT_number 12
loop_
_space_group_symop_operation_xyz
'x,y,z'
'-x,-y,-z'
'-x,y,-z'
'x,-y,z'
'x+1/2,y+1/2,z'
'-x+1/2,-y+1/2,-z'
'-x+1/2,y+1/2,-z'
'x+1/2,-y+1/2,z'
loop_
_atom_site_label
_atom_site_fract_x
_atom_site_fract_y
_atom_site_fract_z
_atom_site_occupancy
K1 0.000 0.170 0.000 1
Sc1 0.000 0.331 0.500 1
Ge1 0.000 0.000 0.500 1
S1 0.225 0.158 0.686 1
S2 0.249 0.000 0.319 1
```

- Energy: -5.3372 eV per atom
- Magnetic moment: 0.0 μB per formula unit



4.
Na5B7C3 after structural relaxation. Source: the Alexandria database, functional GGA-PBE.

Cell and atoms, written as CIF:
```
data_Na5B7C3
_chemical_formula_sum 'Na20 B28 C12'
_cell_length_a 17.868
_cell_length_b 2.840
_cell_length_c 13.354
_cell_angle_alpha 90.00
_cell_angle_beta 113.28
_cell_angle_gamma 90.00
_space_group_name_H-M_alt 'C 1 m 1'
_space_group_IT_number 8
loop_
_space_group_symop_operation_xyz
'x,y,z'
'x,-y,z'
'x+1/2,y+1/2,z'
'x+1/2,-y+1/2,z'
loop_
_atom_site_label
_atom_site_fract_x
_atom_site_fract_y
_atom_site_fract_z
_atom_site_occupancy
Na1 0.000 0.000 0.000 1
Na2 0.000 0.000 0.497 1
Na3 0.099 0.500 0.200 1
Na4 0.102 0.500 0.698 1
Na5 0.200 0.000 0.399 1
Na6 0.201 0.000 0.900 1
Na7 0.298 0.500 0.600 1
Na8 0.303 0.500 0.101 1
Na9 0.400 0.000 0.299 1
Na10 0.400 0.000 0.800 1
B1 0.029 0.000 0.806 1
B2 0.031 0.000 0.310 1
B3 0.069 0.500 0.887 1
B4 0.127 0.500 0.503 1
B5 0.133 0.500 0.015 1
B6 0.167 0.000 0.584 1
B7 0.175 0.000 0.099 1
B8 0.240 0.000 0.729 1
B9 0.266 0.500 0.280 1
B10 0.332 0.500 0.413 1
B11 0.337 0.500 0.923 1
B12 0.370 0.000 0.489 1
B13 0.434 0.000 0.117 1
B14 0.461 0.500 0.672 1
C1 0.063 0.500 0.375 1
C2 0.235 0.000 0.218 1
C3 0.272 0.500 0.792 1
C4 0.369 0.000 0.987 1
C5 0.431 0.000 0.613 1
C6 0.466 0.500 0.181 1
```

- Energy: -5.2701 eV per atom
- Offset from the most stable computed form: 0.018 eV/atom
- Formation energy from the elements: 2.0 eV per formula unit
- DOS(E_F): 4.4 states/eV/f.u.
- Magnetic moment: 0.0 μB per formula unit



5.
K2GeW after structural relaxation. Source: the Alexandria database, functional GGA-PBE.

Cell and atoms, written as CIF:
```
data_K2GeW
_chemical_formula_sum 'K8 Ge4 W4'
_cell_length_a 13.049
_cell_length_b 13.049
_cell_length_c 4.901
_cell_angle_alpha 90.00
_cell_angle_beta 90.00
_cell_angle_gamma 90.00
_space_group_name_H-M_alt 'I -4 2 d'
_space_group_IT_number 122
_space_group_name_Hall 'I -4 2bw'
loop_
_atom_site_label
_atom_site_fract_x
_atom_site_fract_y
_atom_site_fract_z
_atom_site_occupancy
K1 0.036 0.250 0.125 1
Ge1 0.000 0.000 0.000 1
W1 0.000 0.000 0.500 1
```

- Energy: -3.8900 eV per atom
- Formation energy from the elements: 4.2 eV per formula unit
- DOS(E_F): 3.5 states/eV/f.u.
- Magnetic moment: 2.7 μB per formula unit



6.
Er2PuSe after structural relaxation. Source: the Alexandria database, functional GGA-PBE.

Cell and atoms, written as CIF:
```
data_Er2PuSe
_chemical_formula_sum 'Er6 Pu3 Se3'
_cell_length_a 3.6373
_cell_length_b 3.6373
_cell_length_c 30.7413
_cell_angle_alpha 90.00
_cell_angle_beta 90.00
_cell_angle_gamma 120.00
_space_group_name_H-M_alt 'R -3 m'
_space_group_IT_number 166
_space_group_name_Hall '-R 3 2"'
loop_
_atom_site_label
_atom_site_fract_x
_atom_site_fract_y
_atom_site_fract_z
_atom_site_occupancy
Er1 0.0000 0.0000 0.1068 1
Pu1 0.0000 0.0000 0.0000 1
Se1 0.0000 0.0000 0.5000 1
```

- Energy: -7.1635 eV per atom
- Offset from the most stable computed form: 0.166 eV/atom
- DOS(E_F): 10.2 states/eV/f.u.
- Magnetic moment: 6.5 μB per formula unit



Question: Among the records above, which one has the highest energy?
Answer: K2GeW



Question: What is the magnetic moment in the sixth record?
Answer: 6.5 μB per formula unit



Question: Which value of energy does entry 5 give?
Answer: -3.8900 eV per atom



Question: Look up the energy of the sixth one.
Answer: -7.1635 eV per atom